HfW2Br: relaxed, PBE.

a = 3.7921 Å, b = 3.7921 Å, c = 11.0316 Å
α = 80.10°, β = 80.10°, γ = 90.00°
With the nearest neighbours (Å) after each atom.
Fractional positions:
W 0.1110 0.6250 0.2500  4 W 2.61-2.76
W 0.8750 0.8890 0.7500  4 W 2.61-2.76
Br 0.5000 0.5000 0.0000  4 Hf 2.68
Br 0.2500 0.7500 0.5000  4 Hf 2.68
W 0.3750 0.3610 0.7500  4 W 2.61-2.76
W 0.6390 0.1250 0.2500  4 W 2.61-2.76
Hf 0.7500 0.2500 0.5000  4 Br 2.68, 4 W 2.98
Hf 0.0000 0.0000 0.0000  4 Br 2.68, 4 W 2.98


YHf3Br: relaxed, PBE.

a = 5.3160 Å, b = 5.3160 Å, c = 5.3160 Å
α = 90.00°, β = 90.00°, γ = 90.00°
With the nearest neighbours (Å) after each atom.
Fractional positions:
Hf 0.0000 0.5000 0.0000  2 Y 2.66
Hf 0.0000 0.0000 0.5000  2 Y 2.66
Y 0.0000 0.0000 0.0000  6 Hf 2.66
Br 0.5000 0.5000 0.5000  12 Hf 3.76
Hf 0.5000 0.0000 0.0000  2 Y 2.66


YHf2Br: relaxed, PBE.

a = 5.1565 Å, b = 5.1565 Å, c = 5.1565 Å
α = 60.00°, β = 60.00°, γ = 60.00°
With the nearest neighbours (Å) after each atom.
Fractional positions:
Hf 0.2500 0.2500 0.2500  4 Br 3.16, 4 Y 3.16
Y 0.5000 0.5000 0.5000  8 Hf 3.16
Hf 0.7500 0.7500 0.7500  4 Br 3.16, 4 Y 3.16
Br 0.0000 0.0000 0.0000  8 Hf 3.16


YHf2Br2: relaxed, PBE.

a = 4.4561 Å, b = 4.4561 Å, c = 7.3545 Å
α = 72.36°, β = 72.36°, γ = 90.00°
With the nearest neighbours (Å) after each atom.
Fractional positions:
Br 0.7500 0.2500 0.5000  4 Hf 2.92, 4 Br 3.15
Hf 0.3918 0.3918 0.2164  1 Hf 2.88, 4 Br 2.92
Hf 0.6082 0.6082 0.7836  1 Hf 2.88, 4 Br 2.92
Y 0.0000 0.0000 0.0000  8 Hf 3.46
Br 0.2500 0.7500 0.5000  4 Hf 2.92, 4 Br 3.15


Y3HfBr: relaxed, PBE.

a = 5.6724 Å, b = 5.6724 Å, c = 5.6724 Å
α = 90.00°, β = 90.00°, γ = 90.00°
With the nearest neighbours (Å) after each atom.
Fractional positions:
Y 0.0000 0.0000 0.5000  2 Hf 2.84
Hf 0.0000 0.0000 0.0000  6 Y 2.84
Y 0.5000 0.0000 0.0000  2 Hf 2.84
Br 0.5000 0.5000 0.5000  12 Y 4.01
Y 0.0000 0.5000 0.0000  2 Hf 2.84


YHf2Br2: relaxed, PBE.

a = 8.4939 Å, b = 8.4939 Å, c = 3.2485 Å
α = 90.00°, β = 90.00°, γ = 90.00°
With the nearest neighbours (Å) after each atom.
Fractional positions:
Y 0.0000 0.0000 0.0000  4 Hf 3.24, 2 Y 3.25
Br 0.6374 0.8626 0.5000  6 Hf 2.93-3.04, 2 Br 3.25
Y 0.5000 0.5000 0.0000  4 Hf 3.24, 2 Y 3.25
Hf 0.1490 0.3510 0.0000  6 Br 2.93-3.04, 2 Y 3.24, 2 Hf 3.25
Hf 0.6490 0.1490 0.0000  6 Br 2.93-3.04, 2 Y 3.24, 2 Hf 3.25
Br 0.3626 0.1374 0.5000  6 Hf 2.93-3.04, 2 Br 3.25
Hf 0.8510 0.6490 0.0000  6 Br 2.93-3.04, 2 Y 3.24, 2 Hf 3.25
Br 0.1374 0.6374 0.5000  6 Hf 2.93-3.04, 2 Br 3.25
Br 0.8626 0.3626 0.5000  6 Hf 2.93-3.04, 2 Br 3.25
Hf 0.3510 0.8510 0.0000  6 Br 2.93-3.04, 2 Y 3.24, 2 Hf 3.25


Table of energy relative to the elements, uncorrected (meV/atom), in record order: 910 1626 636 16 532 335
Table of uncorrected energy (eV/atom), in record order: -8.473 -5.974 -6.375 -5.927 -5.672 -5.608